1.
The following is a PBE-GGA calculation of crystalline SrYCl2 at its relaxed geometry, from Alexandria.

Computed properties:
Space-group type   Pmmm, No. 47
ΔE to the lowest computed polymorph   73.4 kJ/mol of formula units
Formation energy without anion corrections   -498 kJ/mol of formula units

abc: 3.6091 4.6534 7.1155
angles: 90.00 90.00 90.00
Last column: nearest neighbours and their distance in Å.
Atoms (fractional coordinates):
Sr: 0.0000 0.0000 0.0000  4 Cl 2.94
Y: 0.5000 0.0000 0.5000  4 Cl 2.94
Cl: 0.0000 0.5000 0.5000  4 Y 2.94
Cl: 0.5000 0.5000 0.0000  4 Sr 2.94

=====

2.
The following is a PBE-GGA calculation of crystalline YZnCl2 at its relaxed geometry, from Alexandria.

Computed properties:
Space-group type   I-42d, No. 122
ΔE to the lowest computed polymorph   102.5 kJ/mol of formula units
Formation energy without anion corrections   -366 kJ/mol of formula units

abc: 9.5469 9.5469 9.5469
angles: 151.17 151.17 41.23
Last column: nearest neighbours and their distance in Å.
Atoms (fractional coordinates):
Y: 0.0000 0.0000 0.0000  4 Cl 2.73
Y: 0.7500 0.2500 0.5000  4 Cl 2.73
Zn: 0.2500 0.7500 0.5000  4 Cl 2.86
Zn: 0.5000 0.5000 0.0000  4 Cl 2.86
Cl: 0.0927 0.6250 0.9677  2 Y 2.73, 2 Zn 2.86
Cl: 0.3750 0.3427 0.4677  2 Y 2.73, 2 Zn 2.86
Cl: 0.6573 0.1250 0.0323  2 Y 2.73, 2 Zn 2.86
Cl: 0.8750 0.9073 0.5323  2 Y 2.73, 2 Zn 2.86

=====

3.
The following is a PBE-GGA calculation of crystalline Y2ScGeO at its relaxed geometry, from Alexandria.

Computed properties:
Space-group type   P4/mmm, No. 123
Formation energy without anion corrections   -697 kJ/mol of formula units

abc: 4.7766 4.7766 4.2606
angles: 90.00 90.00 90.00
Last column: nearest neighbours and their distance in Å.
Atoms (fractional coordinates):
Y: 0.0000 0.5000 0.0000  2 O 2.39
Y: 0.5000 0.0000 0.0000  2 O 2.39
Sc: 0.0000 0.0000 0.5000  2 O 2.13
Ge: 0.5000 0.5000 0.5000  8 Y 3.20, 4 Sc 3.38
O: 0.0000 0.0000 0.0000  2 Sc 2.13

=====

4.
The following is a PBE-GGA calculation of crystalline MnRe4Si at its relaxed geometry, from Alexandria.

Computed properties:
Space-group type   F-43m, No. 216
Formation energy without anion corrections   461 kJ/mol of formula units

abc: 5.1024 5.1024 5.1024
angles: 60.00 60.00 60.00
Last column: nearest neighbours and their distance in Å.
Atoms (fractional coordinates):
Mn: 0.0000 0.0000 0.0000  12 Re 2.99, 4 Si 3.12
Re: 0.3753 0.3753 0.3753  6 Re 2.55-2.56
Re: 0.3753 0.3753 0.8741  6 Re 2.55-2.56
Re: 0.3753 0.8741 0.3753  6 Re 2.55-2.56
Re: 0.8741 0.3753 0.3753  6 Re 2.55-2.56
Si: 0.7500 0.7500 0.7500  12 Re 2.99, 4 Mn 3.12

=====

5.
The following is a PBE-GGA calculation of crystalline LaMg2Os at its relaxed geometry, from Alexandria.

Computed properties:
Space-group type   P4/mmm, No. 123
E_form   0.17 eV/atom

abc: 4.1584 4.1584 5.0597
angles: 90.00 90.00 90.00
Last column: nearest neighbours and their distance in Å.
Atoms (fractional coordinates):
La: 0.0000 0.0000 0.0000  4 Os 2.94, 8 Mg 3.27
Mg: 0.0000 0.5000 0.5000  4 Mg 2.94, 4 La 3.27, 4 Os 3.27
Mg: 0.5000 0.0000 0.5000  4 Mg 2.94, 4 La 3.27, 4 Os 3.27
Os: 0.5000 0.5000 0.0000  4 La 2.94, 8 Mg 3.27

=====

6.
The following is a PBE-GGA calculation of crystalline Nd3Dy2Tl2 at its relaxed geometry, from Alexandria.

Computed properties:
Space-group type   C2/m, No. 12
ΔE to the lowest computed polymorph   0.0 kJ/mol of formula units
E_form   -0.20 eV/atom

abc: 5.5259 5.5259 8.7676
angles: 108.48 108.48 60.11
Last column: nearest neighbours and their distance in Å.
Atoms (fractional coordinates):
Nd: 0.0000 0.0000 0.0000  6 Tl 3.39-3.40
Nd: 0.1566 0.1566 0.4695  1 Tl 3.17, 3 Nd 3.23, 1 Dy 3.55
Nd: 0.8434 0.8434 0.5305  1 Tl 3.17, 3 Nd 3.23, 1 Dy 3.55
Dy: 0.4256 0.4256 0.2776  4 Tl 3.38-3.42, 3 Nd 3.55-3.56, 1 Dy 3.63
Dy: 0.5744 0.5744 0.7224  4 Tl 3.38-3.42, 3 Nd 3.55-3.56, 1 Dy 3.63
Tl: 0.2864 0.2864 0.8585  4 Nd 3.17-3.40, 4 Dy 3.38-3.42
Tl: 0.7136 0.7136 0.1415  4 Nd 3.17-3.40, 4 Dy 3.38-3.42

=====

7.
The following is a PBE-GGA calculation of crystalline TlGaGe2Ru at its relaxed geometry, from Alexandria.

Computed properties:
Space-group type   P4/mmm, No. 123
E_form   1.44 eV/atom

abc: 5.2108 5.2108 5.3060
angles: 90.00 90.00 90.00
Last column: nearest neighbours and their distance in Å.
Atoms (fractional coordinates):
Tl: 0.0000 0.0000 0.0000  4 Ge 2.61, 2 Ru 2.65
Ga: 0.5000 0.5000 0.5000  4 Ru 3.68, 8 Ge 3.72
Ge: 0.0000 0.5000 0.0000  2 Tl 2.61
Ge: 0.5000 0.0000 0.0000  2 Tl 2.61
Ru: 0.0000 0.0000 0.5000  2 Tl 2.65

=====

8.
The following is a PBE-GGA calculation of crystalline Tm3MgRh4 at its relaxed geometry, from Alexandria.

Computed properties:
Space-group type   R-3m, No. 166
E_form   -0.89 eV/atom

abc: 8.1311 8.1311 8.1311
angles: 33.52 33.52 33.52
Last column: nearest neighbours and their distance in Å.
Atoms (fractional coordinates):
Tm: 0.0000 0.0000 0.0000  8 Rh 2.87-2.88
Tm: 0.2453 0.2453 0.2453  8 Rh 2.78-3.00
Tm: 0.7547 0.7547 0.7547  8 Rh 2.78-3.00
Mg: 0.5000 0.5000 0.5000  8 Rh 2.86-2.88
Rh: 0.1246 0.1246 0.1246  5 Tm 2.78-2.87, 3 Mg 2.88
Rh: 0.3758 0.3758 0.3758  1 Mg 2.86, 7 Tm 2.88-3.00
Rh: 0.6242 0.6242 0.6242  1 Mg 2.86, 7 Tm 2.88-3.00
Rh: 0.8754 0.8754 0.8754  5 Tm 2.78-2.87, 3 Mg 2.88